Entry 1:
Material: TlTe3N
Method: DFT, PBE-GGA
State: optimized geometry

abc: 5.724 5.724 5.724
angles: 90.00 90.00 90.00
Positions (direct):
Te  0.500  0.000  0.000
Te  0.000  0.500  0.000
Te  0.000  0.000  0.500
N  0.500  0.500  0.500
Tl  0.000  0.000  0.000

Computed properties:
E_form (uncorrected): 2.011 eV/atom

---

Entry 2:
Material: UTlTeN
Method: DFT, PBE-GGA
State: optimized geometry

abc: 4.062 4.062 11.669
angles: 90.00 90.00 90.00
Site moments in Bohr magnetons follow the coordinates.
Positions (direct):
Te  0.750  0.750  0.242  -0.08
Te  0.250  0.250  0.758  -0.08
Tl  0.250  0.750  0.500  0.00
U  0.250  0.250  0.092  1.61
U  0.750  0.750  0.908  1.61
N  0.750  0.250  0.000  -0.11
Tl  0.750  0.250  0.500  0.00
N  0.250  0.750  0.000  -0.11

Computed properties:
E_form (uncorrected): -0.796 eV/atom

---

Entry 3:
Material: TlVTe2N
Method: DFT, PBE-GGA
State: optimized geometry

abc: 5.686 5.686 3.644
angles: 90.00 90.00 90.00
Site moments in Bohr magnetons follow the coordinates.
Positions (direct):
N  0.000  0.000  0.500  -0.09
Tl  0.500  0.500  0.500  -0.01
Te  0.500  0.000  0.000  -0.03
Te  0.000  0.500  0.000  -0.03
V  0.000  0.000  0.000  0.70

Computed properties:
E_form (uncorrected): -0.014 eV/atom

---

Entry 4:
Material: TlVTe2N
Method: DFT, PBE-GGA
State: optimized geometry

abc: 5.848 5.848 4.178
angles: 90.00 90.00 90.00
Site moments in Bohr magnetons follow the coordinates.
Positions (direct):
Te  0.500  0.000  0.000  -0.08
N  0.000  0.000  0.500  0.89
V  0.500  0.500  0.500  2.89
Te  0.000  0.500  0.000  -0.08
Tl  0.000  0.000  0.000  0.00

Computed properties:
E_form (uncorrected): 1.405 eV/atom

---

Entry 5:
Material: TlTe2WN
Method: DFT, PBE-GGA
State: optimized geometry

abc: 5.783 5.783 4.130
angles: 90.00 90.00 90.00
Site moments in Bohr magnetons follow the coordinates.
Positions (direct):
W  0.500  0.500  0.500  2.97
Tl  0.000  0.000  0.000  0.00
Te  0.000  0.500  0.000  -0.10
N  0.000  0.000  0.500  0.84
Te  0.500  0.000  0.000  -0.10

Computed properties:
E_form (uncorrected): 2.023 eV/atom

---

Entry 6:
Material: TlTe2WN
Method: DFT, PBE-GGA
State: optimized geometry

abc: 5.595 5.595 3.856
angles: 90.00 90.00 90.00
Positions (direct):
W  0.000  0.000  0.000
Te  0.500  0.000  0.000
N  0.000  0.000  0.500
Te  0.000  0.500  0.000
Tl  0.500  0.500  0.500

Computed properties:
E_form (uncorrected): 0.149 eV/atom